No. 1
Entry from Alexandria via LeMat-Bulk: crystalline ZrTcOs at its relaxed geometry (PBE-GGA).

Calculated values
Formation enthalpy at 0 K = -76.5 meV per atom
E above lowest polymorph = 102.7 meV/atom

```
data_ZrTcOs
_cell_length_a 2.9271
_cell_length_b 2.9271
_cell_length_c 11.9489
_cell_angle_alpha 90.00
_cell_angle_beta 90.00
_cell_angle_gamma 90.00
_space_group_name_H-M_alt 'I 4 m m'
_space_group_IT_number 107
_space_group_name_Hall 'I 4 -2'
loop_
_atom_site_label
_atom_site_fract_x
_atom_site_fract_y
_atom_site_fract_z
Zr1 0.0000 0.0000 0.0000
Tc1 0.0000 0.0000 0.3119
Os1 0.0000 0.0000 0.6811
```


No. 2
Entry from Alexandria via LeMat-Bulk: crystalline ZrTcOs2 at its relaxed geometry (PBE-GGA).

Calculated values
Formation enthalpy at 0 K = 113.1 meV per atom
E above lowest polymorph = 114.1 meV/atom

```
data_ZrTcOs2
_cell_length_a 3.0863
_cell_length_b 4.5454
_cell_length_c 4.5718
_cell_angle_alpha 90.00
_cell_angle_beta 90.00
_cell_angle_gamma 90.00
_space_group_name_H-M_alt 'P m m m'
_space_group_IT_number 47
loop_
_space_group_symop_operation_xyz
'x,y,z'
'-x,-y,-z'
'-x,-y,z'
'x,y,-z'
'x,-y,-z'
'-x,y,z'
'-x,y,-z'
'x,-y,z'
loop_
_atom_site_label
_atom_site_fract_x
_atom_site_fract_y
_atom_site_fract_z
Zr1 0.0000 0.0000 0.0000
Tc1 0.5000 0.0000 0.5000
Os1 0.0000 0.5000 0.5000
Os2 0.5000 0.5000 0.0000
```


No. 3
Entry from Alexandria via LeMat-Bulk: crystalline ZrTc2Os at its relaxed geometry (PBE-GGA).

Calculated values
Formation enthalpy at 0 K = 92.7 meV per atom
E above lowest polymorph = 92.1 meV/atom

```
data_ZrTc2Os
_cell_length_a 2.7798
_cell_length_b 4.3765
_cell_length_c 5.3895
_cell_angle_alpha 90.00
_cell_angle_beta 101.91
_cell_angle_gamma 90.00
_space_group_name_H-M_alt 'P 1 2/m 1'
_space_group_IT_number 10
loop_
_space_group_symop_operation_xyz
'x,y,z'
'-x,-y,-z'
'-x,y,-z'
'x,-y,z'
loop_
_atom_site_label
_atom_site_fract_x
_atom_site_fract_y
_atom_site_fract_z
Zr1 0.0000 0.0000 0.0000
Tc1 0.1919 0.5000 0.7380
Os1 0.5000 0.0000 0.5000
```


No. 4
Entry from Alexandria via LeMat-Bulk: crystalline Zr3TcOs2 at its relaxed geometry (PBE-GGA).

Calculated values
Formation enthalpy at 0 K = -498.1 meV per atom
E above lowest polymorph = 0.0 meV/atom

```
data_Zr3TcOs2
_cell_length_a 4.6512
_cell_length_b 13.9391
_cell_length_c 3.2861
_cell_angle_alpha 90.00
_cell_angle_beta 90.00
_cell_angle_gamma 90.00
_space_group_name_H-M_alt 'C m m m'
_space_group_IT_number 65
_space_group_name_Hall '-C 2 2'
loop_
_atom_site_label
_atom_site_fract_x
_atom_site_fract_y
_atom_site_fract_z
Zr1 0.0000 0.0000 0.0000
Zr2 0.0000 0.3342 0.0000
Tc1 0.0000 0.5000 0.5000
Os1 0.0000 0.1672 0.5000
```


No. 5
Entry from Alexandria via LeMat-Bulk: crystalline ZrTcOs2 at its relaxed geometry (PBE-GGA).

Calculated values
Formation enthalpy at 0 K = 190.3 meV per atom
E above lowest polymorph = 191.2 meV/atom

```
data_ZrTcOs2
_cell_length_a 6.3781
_cell_length_b 6.3781
_cell_length_c 6.3781
_cell_angle_alpha 90.00
_cell_angle_beta 90.00
_cell_angle_gamma 90.00
_space_group_name_H-M_alt 'F m -3 m'
_space_group_IT_number 225
_space_group_name_Hall '-F 4 2 3'
loop_
_atom_site_label
_atom_site_fract_x
_atom_site_fract_y
_atom_site_fract_z
Zr1 0.0000 0.0000 0.0000
Tc1 0.0000 0.0000 0.5000
Os1 0.2500 0.2500 0.2500
```


No. 6
Entry from Alexandria via LeMat-Bulk: crystalline ZrTcOs2 at its relaxed geometry (PBE-GGA).

Calculated values
Formation enthalpy at 0 K = 238.1 meV per atom
E above lowest polymorph = 239.1 meV/atom

```
data_ZrTcOs2
_cell_length_a 2.7987
_cell_length_b 2.7987
_cell_length_c 28.4179
_cell_angle_alpha 90.00
_cell_angle_beta 90.00
_cell_angle_gamma 120.00
_space_group_name_H-M_alt 'R 3 m'
_space_group_IT_number 160
_space_group_name_Hall 'R 3 -2"'
loop_
_atom_site_label
_atom_site_fract_x
_atom_site_fract_y
_atom_site_fract_z
Zr1 0.0000 0.0000 0.0000
Tc1 0.0000 0.0000 0.7591
Os1 0.0000 0.0000 0.2432
Os2 0.0000 0.0000 0.5006
```


No. 7
Entry from Alexandria via LeMat-Bulk: crystalline Zr2TcOs2 at its relaxed geometry (PBE-GGA).

Calculated values
Formation enthalpy at 0 K = -112.1 meV per atom

```
data_Zr2TcOs2
_cell_length_a 6.5479
_cell_length_b 6.5479
_cell_length_c 4.3193
_cell_angle_alpha 90.00
_cell_angle_beta 90.00
_cell_angle_gamma 90.00
_space_group_name_H-M_alt 'P 4/m b m'
_space_group_IT_number 127
_space_group_name_Hall '-P 4 2ab'
loop_
_atom_site_label
_atom_site_fract_x
_atom_site_fract_y
_atom_site_fract_z
Zr1 0.1796 0.3204 0.0000
Tc1 0.0000 0.0000 0.5000
Os1 0.1357 0.6357 0.5000
```


No. 8
Entry from Alexandria via LeMat-Bulk: crystalline ZrTcOs at its relaxed geometry (PBE-GGA).

Calculated values
Formation enthalpy at 0 K = 38.8 meV per atom
E above lowest polymorph = 218.1 meV/atom

```
data_ZrTcOs
_cell_length_a 2.9182
_cell_length_b 3.8233
_cell_length_c 9.0999
_cell_angle_alpha 90.00
_cell_angle_beta 90.00
_cell_angle_gamma 90.00
_space_group_name_H-M_alt 'I m m 2'
_space_group_IT_number 44
loop_
_space_group_symop_operation_xyz
'x,y,z'
'-x,-y,z'
'-x,y,z'
'x,-y,z'
'x+1/2,y+1/2,z+1/2'
'-x+1/2,-y+1/2,z+1/2'
'-x+1/2,y+1/2,z+1/2'
'x+1/2,-y+1/2,z+1/2'
loop_
_atom_site_label
_atom_site_fract_x
_atom_site_fract_y
_atom_site_fract_z
Zr1 0.0000 0.0000 0.0000
Tc1 0.0000 0.0000 0.3145
Os1 0.0000 0.0000 0.6825
```


No. 9
Entry from Alexandria via LeMat-Bulk: crystalline TeOs2 at its relaxed geometry (PBE-GGA).

Calculated values
E_form (uncorrected) = 1062 meV per atom
E above lowest polymorph = 720.4 meV/atom

```
data_TeOs2
_cell_length_a 3.9275
_cell_length_b 3.9275
_cell_length_c 15.5038
_cell_angle_alpha 90.00
_cell_angle_beta 90.00
_cell_angle_gamma 90.00
_space_group_name_H-M_alt 'I 41/a m d'
_space_group_IT_number 141
loop_
_space_group_symop_operation_xyz
'x,y,z'
'-x,-y,-z'
'-y+1/4,x+3/4,z+1/4'
'y+1/4,-x+3/4,-z+1/4'
'-x+1/2,-y,z+1/2'
'x+1/2,y,-z+1/2'
'y+1/4,-x+1/4,z+3/4'
'-y+1/4,x+1/4,-z+3/4'
'x,-y,-z'
'-x,y,z'
'-y+1/4,-x+1/4,-z+3/4'
'y+1/4,x+1/4,z+3/4'
'-x+1/2,y,-z+1/2'
'x+1/2,-y,z+1/2'
'y+1/4,x+3/4,-z+1/4'
'-y+1/4,-x+3/4,z+1/4'
'x+1/2,y+1/2,z+1/2'
'-x+1/2,-y+1/2,-z+1/2'
'-y+3/4,x+1/4,z+3/4'
'y+3/4,-x+1/4,-z+3/4'
'-x,-y+1/2,z'
'x,y+1/2,-z'
'y+3/4,-x+3/4,z+1/4'
'-y+3/4,x+3/4,-z+1/4'
'x+1/2,-y+1/2,-z+1/2'
'-x+1/2,y+1/2,z+1/2'
'-y+3/4,-x+3/4,-z+1/4'
'y+3/4,x+3/4,z+1/4'
'-x,y+1/2,-z'
'x,-y+1/2,z'
'y+3/4,x+1/4,-z+3/4'
'-y+3/4,-x+1/4,z+3/4'
loop_
_atom_site_label
_atom_site_fract_x
_atom_site_fract_y
_atom_site_fract_z
Te1 0.0000 0.2500 0.3750
Os1 0.0000 0.2500 0.7957
```


No. 10
Entry from Alexandria via LeMat-Bulk: crystalline TeOs2 at its relaxed geometry (PBE-GGA).

Calculated values
E_form (uncorrected) = 1035 meV per atom
E above lowest polymorph = 693.3 meV/atom

```
data_TeOs2
_cell_length_a 3.0710
_cell_length_b 7.5723
_cell_length_c 4.3788
_cell_angle_alpha 90.00
_cell_angle_beta 90.00
_cell_angle_gamma 90.00
_space_group_name_H-M_alt 'P n n m'
_space_group_IT_number 58
loop_
_space_group_symop_operation_xyz
'x,y,z'
'-x,-y,-z'
'-x,-y,z'
'x,y,-z'
'x+1/2,-y+1/2,-z+1/2'
'-x+1/2,y+1/2,z+1/2'
'-x+1/2,y+1/2,-z+1/2'
'x+1/2,-y+1/2,z+1/2'
loop_
_atom_site_label
_atom_site_fract_x
_atom_site_fract_y
_atom_site_fract_z
Te1 0.0000 0.0000 0.0000
Os1 0.2442 0.3357 0.0000
```


No. 11
Entry from Alexandria via LeMat-Bulk: crystalline TeOs2 at its relaxed geometry (PBE-GGA).

Calculated values
E_form (uncorrected) = 796 meV per atom
E above lowest polymorph = 454.2 meV/atom

```
data_TeOs2
_cell_length_a 2.9387
_cell_length_b 2.9387
_cell_length_c 12.2985
_cell_angle_alpha 90.00
_cell_angle_beta 90.00
_cell_angle_gamma 90.00
_space_group_name_H-M_alt 'I 4/m m m'
_space_group_IT_number 139
_space_group_name_Hall '-I 4 2'
loop_
_atom_site_label
_atom_site_fract_x
_atom_site_fract_y
_atom_site_fract_z
Te1 0.0000 0.0000 0.0000
Os1 0.0000 0.0000 0.3141
```


No. 12
Entry from Alexandria via LeMat-Bulk: crystalline TeOs2 at its relaxed geometry (PBE-GGA).

Calculated values
E_form (uncorrected) = 737 meV per atom
E above lowest polymorph = 395.3 meV/atom

```
data_TeOs2
_cell_length_a 4.1660
_cell_length_b 4.1660
_cell_length_c 7.4006
_cell_angle_alpha 90.00
_cell_angle_beta 90.00
_cell_angle_gamma 120.00
_space_group_name_H-M_alt 'P 63/m m c'
_space_group_IT_number 194
_space_group_name_Hall '-P 6c 2c'
loop_
_atom_site_label
_atom_site_fract_x
_atom_site_fract_y
_atom_site_fract_z
Te1 0.0000 0.0000 0.2500
Os1 0.3333 0.6667 0.0654
```